## w
Material: BaScPt2
Method: DFT, SCAN
State: single point on PBEsol structure

abc: 4.5370 5.5631 7.2831
angles: 90.00 90.00 90.00
Space group Immm (No. 71)
Inequivalent atoms, fractional coordinates:
Ba1 0.0000 0.0000 0.0000 [2 per cell]
Sc1 0.0000 0.0000 0.5000 [2 per cell]
Pt1 0.0000 0.5000 0.2074 [4 per cell]

Output
* N(E_F): 4.2 states/eV/cell

---

## x
Material: BaScPt2
Method: DFT, SCAN
State: single point on PBEsol structure

abc: 4.2132 4.2132 9.5865
angles: 90.00 90.00 90.00
Space group I-4m2 (No. 119)
Inequivalent atoms, fractional coordinates:
Ba1 0.0000 0.0000 0.0000 [2 per cell]
Sc1 0.0000 0.5000 0.7500 [2 per cell]
Pt1 0.0000 0.0000 0.5000 [2 per cell]
Pt2 0.0000 0.5000 0.2500 [2 per cell]

Output
* N(E_F): 3.9 states/eV/cell

---

Energy ordering: w at the bottom, the next structure 0.240 eV/atom above.